P | Y4ZnCd: relaxed, PBE.

a = 6.298 Å, b = 6.298 Å, c = 6.298 Å
α = 60.00°, β = 60.00°, γ = 60.00°
Positions (direct):
Y (0.125, 0.125, 0.125)
Y (0.125, 0.125, 0.625)
Y (0.125, 0.625, 0.125)
Y (0.625, 0.125, 0.125)
Zn (0.750, 0.750, 0.750)
Cd (0.500, 0.500, 0.500)

Summary:
Total moment   0.000 μB per atom



Q | Y4ZnCd: relaxed, PBE.

a = 3.593 Å, b = 3.593 Å, c = 12.775 Å
α = 90.00°, β = 90.00°, γ = 90.00°
Positions (direct):
Y (0.000, 0.000, 0.139)
Y (0.000, 0.000, 0.861)
Y (0.500, 0.500, 0.339)
Y (0.500, 0.500, 0.661)
Zn (0.500, 0.500, 0.000)
Cd (0.000, 0.000, 0.500)

Summary:
Total moment   0.260 μB per atom



So which one is most stable? That would be Q, about 616 meV per atom below the next structure.



P | YZrCd2: relaxed, PBE.

a = 5.165 Å, b = 5.165 Å, c = 5.165 Å
α = 60.00°, β = 60.00°, γ = 60.00°
Positions (direct):
Y (0.000, 0.000, 0.000)
Zr (0.750, 0.750, 0.750)
Cd (0.250, 0.250, 0.250)
Cd (0.500, 0.500, 0.500)

Summary:
Total moment   0.715 μB per atom



Q | YZrCd2: relaxed, PBE.

a = 10.104 Å, b = 10.104 Å, c = 10.104 Å
α = 19.55°, β = 19.55°, γ = 19.55°
Positions (direct):
Y (0.000, 0.000, 0.000)
Zr (0.500, 0.500, 0.500)
Cd (0.247, 0.247, 0.247)
Cd (0.753, 0.753, 0.753)

Summary:
Total moment   0.000 μB per atom



R | YZrCd2: relaxed, PBE.

a = 6.579 Å, b = 6.579 Å, c = 6.579 Å
α = 102.10°, β = 102.10°, γ = 125.51°
Positions (direct):
Y (0.000, 0.000, 0.000)
Y (0.750, 0.250, 0.500)
Zr (0.250, 0.750, 0.500)
Zr (0.500, 0.500, 0.000)
Cd (0.142, 0.125, 0.517)
Cd (0.375, 0.858, 0.983)
Cd (0.608, 0.625, 0.483)
Cd (0.875, 0.392, 0.017)

Summary:
Total moment   0.000 μB per atom



So which one is most stable? That would be Q, about 156 meV per atom below the next structure.



P | YZrCd2: relaxed, PBE.

a = 3.383 Å, b = 4.420 Å, c = 6.520 Å
α = 90.00°, β = 90.00°, γ = 90.00°
Positions (direct):
Y (0.000, 0.000, 0.000)
Zr (0.500, 0.500, 0.277)
Cd (0.000, 0.000, 0.497)
Cd (0.500, 0.500, 0.754)

Summary:
Total moment   0.001 μB per atom



Q | YZrCd2: relaxed, PBE.

a = 5.141 Å, b = 5.141 Å, c = 5.141 Å
α = 60.00°, β = 60.00°, γ = 60.00°
Positions (direct):
Y (0.000, 0.000, 0.000)
Zr (0.500, 0.500, 0.500)
Cd (0.250, 0.250, 0.250)
Cd (0.750, 0.750, 0.750)

Summary:
Total moment   0.243 μB per atom



R | YZrCd2: relaxed, PBE.

a = 5.316 Å, b = 5.316 Å, c = 6.014 Å
α = 100.20°, β = 100.20°, γ = 37.40°
Positions (direct):
Y (0.000, 0.000, 0.000)
Zr (0.500, 0.500, 0.500)
Cd (0.246, 0.246, 0.729)
Cd (0.754, 0.754, 0.271)

Summary:
Total moment   0.000 μB per atom



So which one is most stable? That would be Q, about 98 meV per atom below the next structure.



P | YZrCd2: relaxed, PBE.

a = 5.402 Å, b = 5.402 Å, c = 3.332 Å
α = 90.00°, β = 90.00°, γ = 101.97°
Positions (direct):
Y (0.000, 0.000, 0.000)
Zr (0.500, 0.500, 0.000)
Cd (0.000, 0.500, 0.500)
Cd (0.500, 0.000, 0.500)

Summary:
Total moment   0.000 μB per atom



Q | YZrCd2: relaxed, PBE.

a = 5.792 Å, b = 5.792 Å, c = 5.792 Å
α = 135.03°, β = 135.03°, γ = 65.49°
Positions (direct):
Y (0.000, 0.000, 0.000)
Zr (0.250, 0.750, 0.500)
Cd (0.500, 0.500, 0.000)
Cd (0.750, 0.250, 0.500)

Summary:
Total moment   0.186 μB per atom



So which one is most stable? That would be P, about 106 meV per atom below the next structure.



P | YZrCd2: relaxed, PBE.

a = 5.131 Å, b = 5.131 Å, c = 3.638 Å
α = 90.00°, β = 90.00°, γ = 90.00°
Positions (direct):
Y (0.000, 0.000, 0.000)
Zr (0.500, 0.500, 0.000)
Cd (0.000, 0.500, 0.500)
Cd (0.500, 0.000, 0.500)

Summary:
Total moment   0.128 μB per atom



Q | YZrCd2: relaxed, PBE.

a = 3.328 Å, b = 4.253 Å, c = 6.724 Å
α = 90.00°, β = 90.00°, γ = 90.00°
Positions (direct):
Y (0.000, 0.000, 0.000)
Zr (0.000, 0.000, 0.500)
Cd (0.500, 0.500, 0.267)
Cd (0.500, 0.500, 0.733)

Summary:
Total moment   0.000 μB per atom



So which one is most stable? That would be Q, about 15 meV per atom below the next structure.



P | YZrCd2: relaxed, PBE.

a = 3.402 Å, b = 4.763 Å, c = 6.234 Å
α = 90.00°, β = 105.52°, γ = 90.00°
Positions (direct):
Y (0.000, 0.000, 0.000)
Zr (0.660, 0.500, 0.318)
Cd (0.259, 0.000, 0.513)
Cd (0.399, 0.500, 0.796)

Summary:
Total moment   0.116 μB per atom



Q | YZrCd2: relaxed, PBE.

a = 3.346 Å, b = 3.346 Å, c = 8.709 Å
α = 90.00°, β = 90.00°, γ = 90.00°
Positions (direct):
Y (0.000, 0.000, 0.000)
Zr (0.500, 0.500, 0.267)
Cd (0.000, 0.000, 0.505)
Cd (0.500, 0.500, 0.733)

Summary:
Total moment   0.000 μB per atom



R | YZrCd2: relaxed, PBE.

a = 10.476 Å, b = 10.476 Å, c = 10.476 Å
α = 18.41°, β = 18.41°, γ = 18.41°
Positions (direct):
Y (0.000, 0.000, 0.000)
Zr (0.752, 0.752, 0.752)
Cd (0.246, 0.246, 0.246)
Cd (0.499, 0.499, 0.499)

Summary:
Total moment   0.000 μB per atom



S | YZrCd2: relaxed, PBE.

a = 6.140 Å, b = 6.140 Å, c = 5.176 Å
α = 114.61°, β = 114.61°, γ = 33.28°
Positions (direct):
Y (0.000, 0.000, 0.000)
Zr (0.239, 0.239, 0.737)
Cd (0.485, 0.485, 0.486)
Cd (0.764, 0.764, 0.262)

Summary:
Total moment   0.000 μB per atom



So which one is most stable? That would be Q, about 14 meV per atom below the next structure.



P | Y3ZrCd: relaxed, PBE.

a = 5.528 Å, b = 5.528 Å, c = 5.528 Å
α = 90.00°, β = 90.00°, γ = 90.00°
Positions (direct):
Y (0.000, 0.000, 0.500)
Y (0.000, 0.500, 0.000)
Y (0.500, 0.000, 0.000)
Zr (0.000, 0.000, 0.000)
Cd (0.500, 0.500, 0.500)

Summary:
Total moment   0.000 μB per atom



Q | Y3ZrCd: relaxed, PBE.

a = 5.581 Å, b = 5.581 Å, c = 5.581 Å
α = 90.00°, β = 90.00°, γ = 90.00°
Positions (direct):
Y (0.000, 0.000, 0.500)
Y (0.000, 0.500, 0.000)
Y (0.500, 0.000, 0.000)
Zr (0.500, 0.500, 0.500)
Cd (0.000, 0.000, 0.000)

Summary:
Total moment   0.342 μB per atom



So which one is most stable? That would be P, about 84 meV per atom below the next structure.



P | Y2ZrCd2: relaxed, PBE.

a = 8.595 Å, b = 8.595 Å, c = 3.599 Å
α = 90.00°, β = 90.00°, γ = 90.00°
Positions (direct):
Y (0.148, 0.352, 0.000)
Y (0.352, 0.852, 0.000)
Y (0.648, 0.148, 0.000)
Y (0.852, 0.648, 0.000)
Zr (0.000, 0.000, 0.000)
Zr (0.500, 0.500, 0.000)
Cd (0.152, 0.652, 0.500)
Cd (0.348, 0.152, 0.500)
Cd (0.652, 0.848, 0.500)
Cd (0.848, 0.348, 0.500)

Summary:
Total moment   0.301 μB per atom



Q | Y2ZrCd2: relaxed, PBE.

a = 8.471 Å, b = 8.471 Å, c = 3.677 Å
α = 90.00°, β = 90.00°, γ = 90.00°
Positions (direct):
Y (0.174, 0.326, 0.000)
Y (0.326, 0.826, 0.000)
Y (0.674, 0.174, 0.000)
Y (0.826, 0.674, 0.000)
Zr (0.000, 0.000, 0.500)
Zr (0.500, 0.500, 0.500)
Cd (0.127, 0.627, 0.500)
Cd (0.373, 0.127, 0.500)
Cd (0.627, 0.873, 0.500)
Cd (0.873, 0.373, 0.500)

Summary:
Total moment   0.216 μB per atom



So which one is most stable? That would be Q, about 142 meV per atom below the next structure.